Crystalline ThB4Ru at its relaxed geometry, computed with GGA-PBE.

It has space group Pbam (No. 55), with a = 6.071 Å, b = 11.773 Å, c = 3.708 Å, α = 90.00°, β = 90.00° and γ = 90.00°. The asymmetric unit holds Th at (0.128, 0.149, 0.000), B at (0.026, 0.689, 0.500), B at (0.110, 0.545, 0.500), B at (0.141, 0.967, 0.500), B at (0.217, 0.815, 0.500) and Ru at (0.139, 0.406, 0.000).

For the energy relative to the elements, the calculation gives -587 meV/atom. The calculated density comes out at 9.4 Mg/m³. The calculation puts the spin magnetization at 0.0 Bohr magnetons per cell. Its crystal system is orthorhombic.

***

Crystalline YEr4Pu at its relaxed geometry, computed with GGA-PBE.

It has space group P-1 (No. 2), with a = 6.618 Å, b = 7.106 Å, c = 9.011 Å, α = 66.87°, β = 71.71° and γ = 74.84°. The asymmetric unit holds Y at (0.222, 0.302, 0.031), Er at (0.110, 0.528, 0.636), Er at (0.219, 0.809, 0.029), Er at (0.447, 0.859, 0.309), Er at (0.451, 0.358, 0.306) and Pu at (0.110, 0.024, 0.634).

For the energy relative to the elements, the calculation gives 53 meV/atom. The calculated density comes out at 9.1 Mg/m³. The calculation puts the spin magnetization at 13.4 Bohr magnetons per cell. Its crystal system is triclinic.

***

Crystalline Nd5Y2Ho4 at its relaxed geometry, computed with GGA-PBE.

It has space group C2/m (No. 12), with a = 18.041 Å, b = 3.590 Å, c = 12.134 Å, α = 90.00°, β = 107.25° and γ = 90.00°. The asymmetric unit holds Nd at (0.000, 0.000, 0.000), Nd at (0.117, 0.500, 0.515), Nd at (0.166, 0.500, 0.013), Y at (0.175, 0.000, 0.287), Ho at (0.003, 0.500, 0.751) and Ho at (0.170, 0.000, 0.766).

For the energy relative to the elements, the calculation gives 143 meV/atom. The calculated density comes out at 6.9 Mg/m³. The calculation puts the spin magnetization at 0.0 Bohr magnetons per cell. Its crystal system is monoclinic.

***

Crystalline Na2AsBr at its relaxed geometry, computed with GGA-PBE.

It has space group I-42d (No. 122), with a = 8.016 Å, b = 8.016 Å, c = 6.466 Å, α = 90.00°, β = 90.00° and γ = 90.00°. The asymmetric unit holds Na at (0.243, 0.250, 0.125), As at (0.000, 0.000, 0.500) and Br at (0.000, 0.000, 0.000).

The calculated density comes out at 3.2 Mg/m³. Its total energy is -43.03 eV per cell. The calculation puts the spin magnetization at 0.0 Bohr magnetons per cell. Its crystal system is tetragonal.

***

Crystalline YTa2Cd at its relaxed geometry, computed with GGA-PBE.

It has space group Pmmm (No. 47), with a = 3.362 Å, b = 4.845 Å, c = 5.219 Å, α = 90.00°, β = 90.00° and γ = 90.00°. The asymmetric unit holds Y at (0.000, 0.000, 0.000), Ta at (0.000, 0.500, 0.500), Ta at (0.500, 0.000, 0.500) and Cd at (0.500, 0.500, 0.000).

For the energy relative to the elements, the calculation gives 350 meV/atom. The calculated density comes out at 11.0 Mg/m³. The calculation puts the spin magnetization at 0.0 Bohr magnetons per cell. Its crystal system is orthorhombic.

***

Crystalline MnRh3S at its relaxed geometry, computed with GGA-PBE.

It has space group Pm-3m (No. 221), with a = 4.443 Å, b = 4.443 Å, c = 4.443 Å, α = 90.00°, β = 90.00° and γ = 90.00°. The asymmetric unit holds Mn at (0.000, 0.000, 0.000), Rh at (0.000, 0.000, 0.500) and S at (0.500, 0.500, 0.500).

The calculated density comes out at 7.5 Mg/m³. Its total energy is -29.45 eV per cell. The calculation puts the spin magnetization at 0.0 Bohr magnetons per cell. Its crystal system is cubic.